Entry from the Alexandria database: an optimized crystal structure of LaP2Os (PBE).

```
4
Lattice="-3.1673 -5.4297 -3.9088 3.1830 3.1729 -1.3510 1.9686 -2.3936 -0.9796" Properties=species:S:1:pos:R:3 pbc="T T T"
La 2.5758 0.3896 -1.1653
Os 0.0079 -1.1284 -2.6299
P 0.0000 0.0000 0.0000
P -0.5993 -3.9117 -2.4442
```

Summary:
- ρ (g cm⁻³) = 9.045
- formation enthalpy at 0 K (eV/f.u.) = -0.029
- E_tot (eV for the cell shown) = -27.01
- E above lowest polymorph (meV/atom) = 869
- total magnetization (μB/cell) = 0.00


Entry from the Alexandria database: an optimized crystal structure of YUS3 (PBE).

```
10
Lattice="-1.7630 -4.1112 3.0245 -2.0183 -4.2652 -6.9741 6.4316 2.1784 1.8898" Properties=species:S:1:pos:R:3 pbc="T T T"
Y -1.0091 -2.1326 -3.4871
Y -0.8815 -2.0556 1.5123
U 2.3884 -0.7559 0.3648
U 0.2620 -5.4422 -2.4245
S 0.1082 -0.8801 -1.1332
S 3.7816 -2.5059 -1.2020
S -1.1312 -3.6921 -0.8578
S 2.5421 -5.3179 -0.9266
S 1.0462 -3.5923 -4.2732
S 1.6042 -2.6058 2.2134
```

Summary:
- ρ (g cm⁻³) = 6.223
- E_tot (eV for the cell shown) = -74.97
- total magnetization (μB/cell) = 5.21
- ΔE_f (raw) (meV/atom) = -1470


Entry from the Alexandria database: an optimized crystal structure of Ba2SbAu (PBE).

```
4
Lattice="-3.6455 -1.8386 0.2769 0.8986 -1.1806 3.9904 -2.4306 5.8458 6.8135" Properties=species:S:1:pos:R:3 pbc="T T T"
Au -2.9718 2.5796 8.2414
Ba 0.8857 -1.1538 3.9990
Ba -0.7532 2.3058 5.3934
Sb -2.2058 0.2470 2.8394
```

Summary:
- ρ (g cm⁻³) = 6.837
- E_tot (eV for the cell shown) = -14.51
- total magnetization (μB/cell) = 0.00
- ΔE_f (raw) (meV/atom) = -815


Entry from the Alexandria database: an optimized crystal structure of BiPAuS2 (PBE).

```
5
Lattice="-0.6289 3.9679 -3.2743 -1.5259 -3.2941 -3.6988 -5.1068 0.5355 1.6298" Properties=species:S:1:pos:R:3 pbc="T T T"
P -2.5534 0.2678 0.8149
S -0.7629 -1.6470 -1.8494
S -0.3144 1.9839 -1.6371
Au -3.6308 0.6047 -2.6716
Bi 0.0000 0.0000 0.0000
```

Summary:
- ρ (g cm⁻³) = 5.750
- E_tot (eV for the cell shown) = -15.20
- E above lowest polymorph (meV/atom) = 858
- total magnetization (μB/cell) = 1.90
- ΔE_f (raw) (meV/atom) = 1125


Entry from the Alexandria database: an optimized crystal structure of AgOsCl2 (PBE).

```
4
Lattice="-0.6600 -2.9260 -0.1059 2.2349 -0.6493 4.0117 -4.6028 0.8429 5.3966" Properties=species:S:1:pos:R:3 pbc="T T T"
Os -2.1096 0.3219 4.2530
Ag -1.7304 -1.3823 6.4467
Cl -4.0415 0.7164 5.3929
Cl -0.9330 -1.4487 3.3107
```

Summary:
- ρ (g cm⁻³) = 6.520
- E_tot (eV for the cell shown) = -16.75
- E above lowest polymorph (meV/atom) = 7
- total magnetization (μB/cell) = 0.37
- ΔE_f (raw) (meV/atom) = 257


Entry from the Alexandria database: an optimized crystal structure of As3RuN (PBE).

```
5
Lattice="4.2116 0.0000 0.0000 0.0000 4.2116 0.0000 0.0000 0.0000 4.2116" Properties=species:S:1:pos:R:3 pbc="T T T"
Ru 2.1058 2.1058 2.1058
As 0.0000 2.1058 0.0000
As 0.0000 0.0000 2.1058
As 2.1058 0.0000 0.0000
N 0.0000 0.0000 0.0000
```

Summary:
- ρ (g cm⁻³) = 7.554
- E_tot (eV for the cell shown) = -27.44
- E above lowest polymorph (meV/atom) = 0
- total magnetization (μB/cell) = 0.00
- ΔE_f (raw) (meV/atom) = 821


Entry from the Alexandria database: an optimized crystal structure of CdMoRh (PBE).

```
6
Lattice="-1.8441 1.8496 1.1886 -1.3043 -2.1692 1.3520 7.5350 1.3989 9.5140" Properties=species:S:1:pos:R:3 pbc="T T T"
Cd 3.8949 -0.2404 6.4173
Cd 2.0658 1.4795 4.3669
Rh 1.0697 -0.7650 2.8500
Rh 4.8911 2.0040 7.9342
Mo -0.2771 1.0446 1.4086
Mo 6.2379 0.1945 9.3756
```

Summary:
- ρ (g cm⁻³) = 10.275
- formation enthalpy at 0 K (eV/f.u.) = -0.287
- E_tot (eV for the cell shown) = -38.77
- E above lowest polymorph (meV/atom) = 0
- total magnetization (μB/cell) = 0.00


Entry from the Alexandria database: an optimized crystal structure of Ta2CoPd2S6 (PBE).

```
11
Lattice="-3.5566 -3.4147 -3.3538 5.3084 -2.0104 1.8266 -4.1370 2.3897 6.4317" Properties=species:S:1:pos:R:3 pbc="T T T"
Ta 0.0956 -1.3137 3.2050
Ta -2.4808 -1.7218 1.6995
Co -2.0685 1.1949 3.2158
Pd -1.9279 -3.1567 -2.4021
Pd 3.6797 -2.2684 0.8749
S -1.5104 -3.2027 3.4529
S -0.9156 0.1092 4.9252
S -0.8748 0.1672 1.4516
S -3.8131 -0.3498 3.2320
S -1.4696 -3.1447 -0.0207
S 1.4279 -2.6857 1.6725
```

Summary:
- ρ (g cm⁻³) = 7.248
- E_tot (eV for the cell shown) = -72.15
- total magnetization (μB/cell) = 0.00
- ΔE_f (raw) (meV/atom) = -563